{
  "formula": "FePO4",
  "functional": "PBE+U",
  "state": "relaxed",
  "lattice_angstrom": [[-2.126, 2.126, 4.349], [2.126, -2.126, 4.349], [2.126, 2.126, -4.349]],
  "species": ["Fe", "P", "O", "O", "O", "O"],
  "frac_coords": [[0.000, 0.000, 0.000], [0.500, 0.500, 0.000], [0.185, 0.185, 0.572], [0.387, 0.815, 0.000], [0.613, 0.613, 0.428], [0.815, 0.387, 0.000]],
  "m_tot_mub_per_cell": 5.00,
  "dos_ef_per_ev_fu": 0.0,
  "total_energy_ev_per_atom": -6.964
}